1.
DFT (PBE) results for a geometry-optimized K2IrRu structure.

abc: 10.322 10.322 4.313
angles: 78.10 78.10 15.80
Element x y z (fractional)
Ru (0.250, 0.250, 0.250)
K (0.108, 0.108, 0.887)
K (0.392, 0.392, 0.613)
Ir (0.750, 0.750, 0.750)

Output
The uncorrected energy comes out at -4.445 eV/atom. Its space group is C2/m, No. 12. For the polymorph energy (0 for the lowest one), the calculation gives 13.9 kJ per mole of atoms.



2.
DFT (PBE) results for a geometry-optimized KIrRu2 structure.

abc: 4.938 4.938 2.756
angles: 90.00 90.00 90.00
Each line ends with the local moment (μB).
Element x y z (fractional)
K (0.000, 0.500, 0.500)  0.01
Ru (0.000, 0.000, 0.000)  1.17
Ru (0.500, 0.500, 0.000)  1.17
Ir (0.500, 0.000, 0.500)  0.26

Output
The uncorrected energy comes out at -5.860 eV/atom. Its space group is P4/mmm, No. 123. For the polymorph energy (0 for the lowest one), the calculation gives 62.9 kJ per mole of atoms.



3.
DFT (PBE) results for a geometry-optimized KIr2Ru structure.

abc: 4.810 4.810 4.810
angles: 128.15 128.15 76.38
Each line ends with the local moment (μB).
Element x y z (fractional)
K (0.500, 0.500, 0.000)  0.00
Ru (0.750, 0.250, 0.500)  0.18
Ir (0.000, 0.000, 0.000)  0.07
Ir (0.250, 0.750, 0.500)  0.03

Output
The uncorrected energy comes out at -5.738 eV/atom. Its space group is I-4m2, No. 119. For the polymorph energy (0 for the lowest one), the calculation gives 78.8 kJ per mole of atoms.